A relaxed KTa2RhI crystal. Source: Alexandria via LeMat-Bulk, functional PBE-GGA.

Calculated values
E_form (uncorrected)	1.04	eV/atom
E_tot	-28.5	eV/f.u.
M_tot	3.0	μB per cell

Cell and atoms, written as extended XYZ:
```
5
Lattice="4.898 0.000 0.000 0.000 6.170 0.000 0.000 0.000 4.898" Properties=species:S:1:pos:R:3 pbc="T T T"
I 0.000 3.085 0.000
K 2.449 3.085 2.449
Rh 0.000 0.000 0.000
Ta 0.000 0.000 2.449
Ta 2.449 0.000 0.000
```

---

A relaxed KTe2RhI crystal. Source: Alexandria via LeMat-Bulk, functional PBE-GGA.

Calculated values
E_form (uncorrected)	-0.29	eV/atom
energy above the lowest structure with this stoichiometry	0.0	kJ per mole of atoms
E_tot	-17.7	eV/f.u.
M_tot	0.6	μB per cell

Cell and atoms, written as extended XYZ:
```
5
Lattice="-3.361 1.811 3.619 1.490 -3.820 3.295 4.232 3.521 2.168" Properties=species:S:1:pos:R:3 pbc="T T T"
I 2.116 1.760 1.084
K 1.180 0.756 4.541
Te 0.745 -1.910 1.648
Te -1.680 0.905 1.809
Rh 0.000 0.000 0.000
```

---

A relaxed KTeRhI2 crystal. Source: Alexandria via LeMat-Bulk, functional PBE-GGA.

Calculated values
E_form (uncorrected)	0.97	eV/atom
energy above the lowest structure with this stoichiometry	134.5	kJ per mole of atoms
E_tot	-9.8	eV/f.u.
M_tot	4.1	μB per cell

Cell and atoms, written as extended XYZ:
```
5
Lattice="6.361 0.000 0.000 0.000 6.361 0.000 0.000 0.000 6.352" Properties=species:S:1:pos:R:3 pbc="T T T"
I 0.000 3.181 0.000
I 3.181 0.000 0.000
K 0.000 0.000 0.000
Te 0.000 0.000 3.176
Rh 3.181 3.181 3.176
```

---

A relaxed KTeRhI2 crystal. Source: Alexandria via LeMat-Bulk, functional PBE-GGA.

Calculated values
E_form (uncorrected)	-0.42	eV/atom
energy above the lowest structure with this stoichiometry	0.0	kJ per mole of atoms
E_tot	-16.8	eV/f.u.
M_tot	0.0	μB per cell

Cell and atoms, written as extended XYZ:
```
5
Lattice="5.787 0.000 0.000 0.000 5.787 0.000 0.000 0.000 5.086" Properties=species:S:1:pos:R:3 pbc="T T T"
I 0.000 2.893 0.000
I 2.893 0.000 0.000
K 2.893 2.893 2.543
Te 0.000 0.000 2.543
Rh 0.000 0.000 0.000
```

---

A relaxed KTe2RhI crystal. Source: Alexandria via LeMat-Bulk, functional PBE-GGA.

Calculated values
E_form (uncorrected)	1.23	eV/atom
energy above the lowest structure with this stoichiometry	146.5	kJ per mole of atoms
E_tot	-10.1	eV/f.u.
M_tot	5.0	μB per cell

Cell and atoms, written as extended XYZ:
```
5
Lattice="6.325 0.000 0.000 0.000 6.325 0.000 0.000 0.000 6.298" Properties=species:S:1:pos:R:3 pbc="T T T"
I 0.000 0.000 3.149
K 0.000 0.000 0.000
Te 0.000 3.162 0.000
Te 3.162 0.000 0.000
Rh 3.162 3.162 3.149
```

---

A relaxed K2TiRhI crystal. Source: Alexandria via LeMat-Bulk, functional PBE-GGA.

Calculated values
E_form (uncorrected)	0.22	eV/atom
E_tot	-17.9	eV/f.u.
M_tot	1.8	μB per cell

Cell and atoms, written as extended XYZ:
```
5
Lattice="6.798 0.000 0.000 0.000 4.481 0.000 0.000 0.000 6.798" Properties=species:S:1:pos:R:3 pbc="T T T"
I 3.399 2.240 3.399
K 0.000 0.000 3.399
K 3.399 0.000 0.000
Rh 0.000 2.240 0.000
Ti 0.000 0.000 0.000
```

---

A relaxed K2TlRhI6 crystal. Source: Alexandria via LeMat-Bulk, functional PBE-GGA.

Calculated values
E_form (uncorrected)	-0.76	eV/atom
E_tot	-28.9	eV/f.u.
M_tot	0.0	μB per cell

Cell and atoms, written as extended XYZ:
```
10
Lattice="-2.124 7.407 -3.573 -6.042 0.261 -5.963 -7.300 3.502 1.501" Properties=species:S:1:pos:R:3 pbc="T T T"
K -7.033 5.440 -4.734
K -6.768 3.392 0.957
Tl -10.697 8.193 -6.948
Rh -2.882 2.589 -3.015
I -4.212 4.926 -2.597
I -2.447 2.317 -0.343
I -5.207 1.189 -2.815
I -10.592 6.301 -4.191
I -7.877 7.504 -1.779
I -8.796 3.792 -1.927
```

---

A relaxed KRuI3 crystal. Source: Alexandria via LeMat-Bulk, functional PBE-GGA.

Calculated values
E_form (uncorrected)	0.85	eV/atom
energy above the lowest structure with this stoichiometry	110.4	kJ per mole of atoms
E_tot	-10.8	eV/f.u.
M_tot	4.0	μB per cell

Cell and atoms, written as extended XYZ:
```
5
Lattice="6.365 0.000 0.000 0.000 6.365 0.000 0.000 0.000 6.365" Properties=species:S:1:pos:R:3 pbc="T T T"
I 0.000 3.182 0.000
I 0.000 0.000 3.182
I 3.182 0.000 0.000
Ru 3.182 3.182 3.182
K 0.000 0.000 0.000
```

---

A relaxed K2RuI crystal. Source: Alexandria via LeMat-Bulk, functional PBE-GGA.

Calculated values
E_form (uncorrected)	0.53	eV/atom
energy above the lowest structure with this stoichiometry	19.9	kJ per mole of atoms
E_tot	-10.9	eV/f.u.
M_tot	3.0	μB per cell

Cell and atoms, written as extended XYZ:
```
4
Lattice="5.800 1.110 0.900 1.876 1.956 5.323 3.214 -3.584 3.537" Properties=species:S:1:pos:R:3 pbc="T T T"
I 5.445 -0.259 4.880
Ru 0.000 0.000 0.000
K 2.722 -0.129 2.440
K 8.167 -0.388 7.320
```

---

A relaxed K2RuI5 crystal. Source: Alexandria via LeMat-Bulk, functional PBE-GGA.

Calculated values
E_form (uncorrected)	-0.65	eV/atom
E_tot	-24.4	eV/f.u.
M_tot	1.0	μB per cell

Cell and atoms, written as extended XYZ:
```
8
Lattice="8.462 0.000 0.002 0.000 8.462 0.002 -4.232 -4.232 4.780" Properties=species:S:1:pos:R:3 pbc="T T T"
K 0.000 4.230 2.504
K 4.230 0.001 2.504
Ru 4.230 4.230 4.612
I 6.570 1.892 0.134
I 1.892 1.892 0.131
I 6.570 6.570 0.136
I 1.892 6.570 0.134
I 4.230 4.230 2.073
```

---

A relaxed KRu2I crystal. Source: Alexandria via LeMat-Bulk, functional PBE-GGA.

Calculated values
E_form (uncorrected)	1.29	eV/atom
energy above the lowest structure with this stoichiometry	1.6	kJ per mole of atoms
E_tot	-16.1	eV/f.u.
M_tot	0.0	μB per cell

Cell and atoms, written as extended XYZ:
```
4
Lattice="0.000 3.340 3.340 3.340 0.000 3.340 3.340 3.340 0.000" Properties=species:S:1:pos:R:3 pbc="T T T"
I 3.340 3.340 3.340
Ru 1.670 1.670 1.670
Ru 5.010 5.010 5.010
K 0.000 0.000 0.000
```

---

A relaxed K2RuI crystal. Source: Alexandria via LeMat-Bulk, functional PBE-GGA.

Calculated values
E_form (uncorrected)	0.32	eV/atom
energy above the lowest structure with this stoichiometry	0.0	kJ per mole of atoms
E_tot	-11.7	eV/f.u.
M_tot	0.0	μB per cell

Cell and atoms, written as extended XYZ:
```
8
Lattice="-0.183 11.617 -4.651 -9.173 -3.288 -7.853 -6.379 4.823 -4.541" Properties=species:S:1:pos:R:3 pbc="T T T"
I 0.000 0.000 0.000
I -5.619 10.302 -7.722
Ru -4.678 4.165 -6.252
Ru -10.115 2.850 -9.323
K -2.816 5.556 -4.023
K -7.390 3.102 -7.626
K -10.266 6.033 -9.784
K -10.997 11.613 -12.658
```

---

> Number 3 is which compound?

KTeRhI2

---

> What is the E_tot in the seventh record?

-28.9 eV/f.u.

---

> Which formula does entry 4 have?

KTeRhI2

---

> Among the records above, which one has the highest E_form (uncorrected)?

KRu2I